Entry 1:
The following is a PBEsol calculation of a geometry-optimized NaAg2Cl structure, from the Alexandria database.

Lattice parameters (Å, degrees): 4.826 4.826 4.826 60.00 60.00 60.00
Positions (direct):
Na: 0.000 0.000 0.000
Ag: 0.250 0.250 0.250
Ag: 0.750 0.750 0.750
Cl: 0.500 0.500 0.500

Calculated total energy ... -2.40 eV/atom
Formation energy (no corrections) ... 0.106 eV/atom
Calculated density ... 5.73 g cm⁻³
Size of the total moment ... 0.0 μB per formula unit
SG ... Fm-3m, No. 225

=====

Entry 2:
The following is a PBEsol calculation of a geometry-optimized AgRuO4 structure, from the Alexandria database.

Lattice parameters (Å, degrees): 5.072 5.072 6.809 111.87 111.87 90.00
Positions (direct):
Ag: 0.500 0.500 0.000
Ag: 0.750 0.250 0.500
Ru: 0.000 0.000 0.000
Ru: 0.250 0.750 0.500
O: 0.326 0.923 0.162
O: 0.415 0.512 0.338
O: 0.488 0.076 0.662
O: 0.077 0.165 0.838
O: 0.762 0.674 0.838
O: 0.173 0.585 0.662
O: 0.924 0.827 0.338
O: 0.835 0.238 0.162

Calculated total energy ... -6.30 eV/atom
Formation energy (no corrections) ... -0.551 eV/atom
Calculated density ... 6.09 g cm⁻³
Size of the total moment ... 0.0 μB per formula unit
SG ... I4_1/a, No. 88

=====

Entry 3:
The following is a PBEsol calculation of a geometry-optimized NiIrW2 structure, from the Alexandria database.

Lattice parameters (Å, degrees): 2.707 4.703 4.703 110.87 90.00 90.00
Positions (direct):
Ni: 0.500 0.500 0.500
Ir: 0.500 0.000 0.000
W: 0.000 0.500 0.000
W: 0.000 0.000 0.500

Calculated total energy ... -11.00 eV/atom
ΔE_f ... -0.10 eV per atom
Calculated density ... 18.37 g cm⁻³
Size of the total moment ... 0.0 μB per formula unit
SG ... Cmmm, No. 65

=====

Entry 4:
The following is a PBEsol calculation of a geometry-optimized AlCd3Rh structure, from the Alexandria database.

Lattice parameters (Å, degrees): 4.851 4.851 4.851 90.00 90.00 90.00
Positions (direct):
Rh: 0.500 0.500 0.500
Al: 0.000 0.000 0.000
Cd: 0.000 0.500 0.000
Cd: 0.000 0.000 0.500
Cd: 0.500 0.000 0.000

Calculated total energy ... -2.16 eV/atom
ΔE_f ... 1.01 eV per atom
Calculated density ... 6.79 g cm⁻³
Size of the total moment ... 0.7 μB per formula unit
SG ... Pm-3m, No. 221

=====

Entry 5:
The following is a PBEsol calculation of a geometry-optimized NaCa3ScZn3Si8O24 structure, from the Alexandria database.

Lattice parameters (Å, degrees): 5.283 8.952 9.805 90.00 105.19 90.00
Positions (direct):
Na: 0.500 0.806 0.500
Ca: 0.000 0.296 0.000
Ca: 0.000 0.196 0.500
Ca: 0.500 0.702 0.000
Sc: 0.000 0.601 0.500
Zn: 0.500 0.402 0.500
Zn: 0.000 0.906 0.000
Zn: 0.500 0.092 0.000
Si: 0.306 0.092 0.287
Si: 0.803 0.592 0.788
Si: 0.694 0.092 0.713
Si: 0.197 0.592 0.212
Si: 0.197 0.910 0.714
Si: 0.697 0.406 0.211
Si: 0.803 0.910 0.286
Si: 0.303 0.406 0.789
O: 0.222 0.089 0.116
O: 0.723 0.583 0.617
O: 0.778 0.089 0.884
O: 0.277 0.583 0.383
O: 0.279 0.910 0.885
O: 0.784 0.413 0.383
O: 0.721 0.910 0.115
O: 0.216 0.413 0.617
O: 0.288 0.251 0.361
O: 0.785 0.750 0.861
O: 0.712 0.251 0.639
O: 0.215 0.750 0.139
O: 0.203 0.749 0.642
O: 0.714 0.248 0.139
O: 0.797 0.749 0.358
O: 0.286 0.248 0.861
O: 0.605 0.020 0.350
O: 0.101 0.517 0.853
O: 0.395 0.020 0.650
O: 0.899 0.517 0.147
O: 0.903 0.987 0.650
O: 0.400 0.482 0.148
O: 0.097 0.987 0.350
O: 0.600 0.482 0.852

Calculated total energy ... -7.50 eV/atom
Formation energy (no corrections) ... -2.722 eV/atom
Calculated density ... 3.68 g cm⁻³
Size of the total moment ... 0.0 μB per formula unit
SG ... P2, No. 3

=====

Entry 6:
The following is a PBEsol calculation of a geometry-optimized LaSbNO2 structure, from the Alexandria database.

Lattice parameters (Å, degrees): 4.427 4.427 4.439 90.00 90.00 90.00
Positions (direct):
Sb: 0.500 0.500 0.500
N: 0.000 0.000 0.500
O: 0.000 0.500 0.000
O: 0.500 0.000 0.000
La: 0.000 0.000 0.000

Calculated total energy ... -6.18 eV/atom
Formation energy (no corrections) ... -0.393 eV/atom
Calculated density ... 5.85 g cm⁻³
Size of the total moment ... 0.3 μB per formula unit
SG ... P4/mmm, No. 123